No. 1
Material: YCu12
Method: DFT, GGA-PBE
State: relaxed

Results
**Crystal system**: tetragonal
**Space-group type**: I4/mmm
**E**: -4.36 eV/atom
**Total magnetic moment**: 0.00 μB/cell

a = 6.461 Å, b = 6.461 Å, c = 6.461 Å
α = 98.11°, β = 98.11°, γ = 135.88°
Sites, in units of the cell vectors:
Y 0.000 0.000 0.000
Cu 0.000 0.000 0.500
Cu 0.000 0.355 0.355
Cu 0.000 0.500 0.000
Cu 0.000 0.645 0.645
Cu 0.277 0.500 0.777
Cu 0.355 0.000 0.355
Cu 0.500 0.000 0.000
Cu 0.500 0.277 0.777
Cu 0.500 0.500 0.500
Cu 0.500 0.723 0.223
Cu 0.645 0.000 0.645
Cu 0.723 0.500 0.223



No. 2
Material: Li2SnPd2
Method: DFT, GGA-PBE
State: relaxed

Results
**Polymorph energy (0 for the lowest one)**: 95 meV per atom
**Crystal system**: orthorhombic
**Space-group type**: Immm
**E**: -4.10 eV/atom
**Total magnetic moment**: 0.00 μB/cell

a = 4.881 Å, b = 4.881 Å, c = 4.881 Å
α = 127.01°, β = 107.64°, γ = 95.45°
Sites, in units of the cell vectors:
Li 0.187 0.187 0.000
Li 0.813 0.813 0.000
Sn 0.500 0.000 0.500
Pd 0.230 0.500 0.730
Pd 0.770 0.500 0.270